# 1
Ta2FeAg: optimized geometry, PBE-GGA.

Geometry as CIF:
```
data_Ta2FeAg
_space_group_name_H-M_alt 'P 4/m m m'
_space_group_IT_number 123
_space_group_name_Hall '-P 4 2'
_cell_length_a 2.8348
_cell_length_b 2.8348
_cell_length_c 8.0117
_cell_angle_alpha 90.00
_cell_angle_beta 90.00
_cell_angle_gamma 90.00
loop_
_atom_site_label
_atom_site_type_symbol
_atom_site_fract_x
_atom_site_fract_y
_atom_site_fract_z
Ta1 Ta 0.0000 0.0000 0.2109
Fe1 Fe 0.5000 0.5000 0.0000
Ag1 Ag 0.5000 0.5000 0.5000
```

## Properties
For the total energy, the calculation gives -34.48 eV/cell.



# 2
Ta2FeAg: optimized geometry, PBE-GGA.

Geometry as CIF:
```
data_Ta2FeAg
_space_group_name_H-M_alt 'P m m m'
_space_group_IT_number 47
_space_group_name_Hall '-P 2 2'
_cell_length_a 2.9067
_cell_length_b 3.7519
_cell_length_c 5.8940
_cell_angle_alpha 90.00
_cell_angle_beta 90.00
_cell_angle_gamma 90.00
loop_
_atom_site_label
_atom_site_type_symbol
_atom_site_fract_x
_atom_site_fract_y
_atom_site_fract_z
Ta1 Ta 0.0000 0.0000 0.2234
Fe1 Fe 0.5000 0.5000 0.0000
Ag1 Ag 0.5000 0.5000 0.5000
```

## Properties
For the total energy, the calculation gives -33.96 eV/cell.



# 3
Ta3FeAg: optimized geometry, PBE-GGA.

Geometry as CIF:
```
data_Ta3FeAg
_space_group_name_H-M_alt 'P m -3 m'
_space_group_IT_number 221
_space_group_name_Hall '-P 4 2 3'
_cell_length_a 4.8279
_cell_length_b 4.8279
_cell_length_c 4.8279
_cell_angle_alpha 90.00
_cell_angle_beta 90.00
_cell_angle_gamma 90.00
loop_
_atom_site_label
_atom_site_type_symbol
_atom_site_fract_x
_atom_site_fract_y
_atom_site_fract_z
Ta1 Ta 0.0000 0.0000 0.5000
Fe1 Fe 0.5000 0.5000 0.5000
Ag1 Ag 0.0000 0.0000 0.0000
```

## Properties
For the total energy, the calculation gives -34.35 eV/cell.



# 4
Ta2FeAg: optimized geometry, PBE-GGA.

Geometry as CIF:
```
data_Ta2FeAg
_space_group_name_H-M_alt 'P 1 2/m 1'
_space_group_IT_number 10
_space_group_name_Hall '-P 2y'
_cell_length_a 2.8773
_cell_length_b 3.9113
_cell_length_c 5.7630
_cell_angle_alpha 90.00
_cell_angle_beta 97.43
_cell_angle_gamma 90.00
loop_
_atom_site_label
_atom_site_type_symbol
_atom_site_fract_x
_atom_site_fract_y
_atom_site_fract_z
Ta1 Ta 0.0656 0.0000 0.2788
Fe1 Fe 0.5000 0.5000 0.5000
Ag1 Ag 0.5000 0.5000 0.0000
```

## Properties
For the total energy, the calculation gives -34.10 eV/cell.



# 5
Ta2FeAg: optimized geometry, PBE-GGA.

Geometry as CIF:
```
data_Ta2FeAg
_space_group_name_H-M_alt 'I 4/m m m'
_space_group_IT_number 139
_space_group_name_Hall '-I 4 2'
_cell_length_a 4.0393
_cell_length_b 4.0393
_cell_length_c 7.8884
_cell_angle_alpha 90.00
_cell_angle_beta 90.00
_cell_angle_gamma 90.00
loop_
_atom_site_label
_atom_site_type_symbol
_atom_site_fract_x
_atom_site_fract_y
_atom_site_fract_z
Ta1 Ta 0.0000 0.5000 0.2500
Fe1 Fe 0.0000 0.0000 0.0000
Ag1 Ag 0.0000 0.0000 0.5000
```

## Properties
For the total energy, the calculation gives -67.63 eV/cell.



# 6
Ta2FeAg: optimized geometry, PBE-GGA.

Geometry as CIF:
```
data_Ta2FeAg
_space_group_name_H-M_alt 'P 1 m 1'
_space_group_IT_number 6
_space_group_name_Hall 'P -2y'
_cell_length_a 2.7597
_cell_length_b 4.5865
_cell_length_c 5.1785
_cell_angle_alpha 90.00
_cell_angle_beta 96.43
_cell_angle_gamma 90.00
loop_
_atom_site_label
_atom_site_type_symbol
_atom_site_fract_x
_atom_site_fract_y
_atom_site_fract_z
Ta1 Ta 0.0000 0.0000 0.0000
Ta2 Ta 0.2408 0.5000 0.6893
Fe1 Fe 0.5763 0.0000 0.5281
Ag1 Ag 0.6194 0.5000 0.2135
```

## Properties
For the total energy, the calculation gives -33.83 eV/cell.



# 7
Ta2FeAg: optimized geometry, PBE-GGA.

Geometry as CIF:
```
data_Ta2FeAg
_space_group_name_H-M_alt 'C 1 2/m 1'
_space_group_IT_number 12
_space_group_name_Hall '-C 2y'
_cell_length_a 5.6536
_cell_length_b 8.2441
_cell_length_c 2.7845
_cell_angle_alpha 90.00
_cell_angle_beta 90.34
_cell_angle_gamma 90.00
loop_
_atom_site_label
_atom_site_type_symbol
_atom_site_fract_x
_atom_site_fract_y
_atom_site_fract_z
Ta1 Ta 0.2500 0.2500 0.0000
Fe1 Fe 0.0000 0.0000 0.5000
Ag1 Ag 0.0000 0.5000 0.5000
```

## Properties
For the total energy, the calculation gives -67.59 eV/cell.



# 8
Ta2FeAg: optimized geometry, PBE-GGA.

Geometry as CIF:
```
data_Ta2FeAg
_space_group_name_H-M_alt 'R 3 m'
_space_group_IT_number 160
_space_group_name_Hall 'R 3 -2"'
_cell_length_a 2.9535
_cell_length_b 2.9535
_cell_length_c 27.0472
_cell_angle_alpha 90.00
_cell_angle_beta 90.00
_cell_angle_gamma 120.00
loop_
_atom_site_label
_atom_site_type_symbol
_atom_site_fract_x
_atom_site_fract_y
_atom_site_fract_z
Ta1 Ta 0.0000 0.0000 0.0000
Ta2 Ta 0.0000 0.0000 0.2422
Fe1 Fe 0.0000 0.0000 0.5060
Ag1 Ag 0.0000 0.0000 0.7570
```

## Properties
For the total energy, the calculation gives -100.83 eV/cell.



# 9
Ta4FeAg: optimized geometry, PBE-GGA.

Geometry as CIF:
```
data_Ta4FeAg
_space_group_name_H-M_alt 'F -4 3 m'
_space_group_IT_number 216
_space_group_name_Hall 'F -4 2 3'
_cell_length_a 7.6412
_cell_length_b 7.6412
_cell_length_c 7.6412
_cell_angle_alpha 90.00
_cell_angle_beta 90.00
_cell_angle_gamma 90.00
loop_
_atom_site_label
_atom_site_type_symbol
_atom_site_fract_x
_atom_site_fract_y
_atom_site_fract_z
Ta1 Ta 0.1242 0.1242 0.3758
Fe1 Fe 0.2500 0.2500 0.7500
Ag1 Ag 0.0000 0.0000 0.0000
```

## Properties
For the total energy, the calculation gives -219.18 eV/cell.



# 10
Ta2FeAg: optimized geometry, PBE-GGA.

Geometry as CIF:
```
data_Ta2FeAg
_space_group_name_H-M_alt 'C m m 2'
_space_group_IT_number 35
_space_group_name_Hall 'C 2 -2'
_cell_length_a 3.4041
_cell_length_b 4.4055
_cell_length_c 8.8449
_cell_angle_alpha 90.00
_cell_angle_beta 90.00
_cell_angle_gamma 90.00
loop_
_atom_site_label
_atom_site_type_symbol
_atom_site_fract_x
_atom_site_fract_y
_atom_site_fract_z
Ta1 Ta 0.0000 0.0000 0.0000
Ta2 Ta 0.0000 0.5000 0.2638
Fe1 Fe 0.0000 0.5000 0.7734
Ag1 Ag 0.0000 0.0000 0.5333
```

## Properties
For the total energy, the calculation gives -68.50 eV/cell.



# 11
Ta2FeAg: optimized geometry, PBE-GGA.

Geometry as CIF:
```
data_Ta2FeAg
_space_group_name_H-M_alt 'F -4 3 m'
_space_group_IT_number 216
_space_group_name_Hall 'F -4 2 3'
_cell_length_a 6.3683
_cell_length_b 6.3683
_cell_length_c 6.3683
_cell_angle_alpha 90.00
_cell_angle_beta 90.00
_cell_angle_gamma 90.00
loop_
_atom_site_label
_atom_site_type_symbol
_atom_site_fract_x
_atom_site_fract_y
_atom_site_fract_z
Ta1 Ta 0.0000 0.0000 0.0000
Ta2 Ta 0.2500 0.2500 0.2500
Fe1 Fe 0.2500 0.2500 0.7500
Ag1 Ag 0.0000 0.0000 0.5000
```

## Properties
For the total energy, the calculation gives -132.33 eV/cell.



# 12
Ta2FeAg: optimized geometry, PBE-GGA.

Geometry as CIF:
```
data_Ta2FeAg
_space_group_name_H-M_alt 'R -3 m'
_space_group_IT_number 166
_space_group_name_Hall '-R 3 2"'
_cell_length_a 2.9160
_cell_length_b 2.9160
_cell_length_c 27.1367
_cell_angle_alpha 90.00
_cell_angle_beta 90.00
_cell_angle_gamma 120.00
loop_
_atom_site_label
_atom_site_type_symbol
_atom_site_fract_x
_atom_site_fract_y
_atom_site_fract_z
Ta1 Ta 0.0000 0.0000 0.2410
Fe1 Fe 0.0000 0.0000 0.5000
Ag1 Ag 0.0000 0.0000 0.0000
```

## Properties
For the total energy, the calculation gives -101.07 eV/cell.



# 13
Ta2FeAg: optimized geometry, PBE-GGA.

Geometry as CIF:
```
data_Ta2FeAg
_space_group_name_H-M_alt 'P 4/m m m'
_space_group_IT_number 123
_space_group_name_Hall '-P 4 2'
_cell_length_a 3.9969
_cell_length_b 3.9969
_cell_length_c 4.0294
_cell_angle_alpha 90.00
_cell_angle_beta 90.00
_cell_angle_gamma 90.00
loop_
_atom_site_label
_atom_site_type_symbol
_atom_site_fract_x
_atom_site_fract_y
_atom_site_fract_z
Ta1 Ta 0.0000 0.5000 0.0000
Fe1 Fe 0.0000 0.0000 0.5000
Ag1 Ag 0.5000 0.5000 0.5000
```

## Properties
For the total energy, the calculation gives -33.82 eV/cell.